one) {
  "formula": "V3PbBr",
  "functional": "PBE-GGA",
  "state": "optimized geometry",
  "rho_g_cm3": 4.902,
  "spacegroup": "Pm-3m",
  "cell": [[5.302, 0.000, 0.000], [0.000, 5.302, 0.000], [0.000, 0.000, 5.302]],
  "species": ["Pb", "V", "V", "V", "Br"],
  "frac_coords": [[0.000, 0.000, 0.000], [0.500, 0.000, 0.000], [0.000, 0.500, 0.000], [0.000, 0.000, 0.500], [0.500, 0.500, 0.500]]
}

two) {
  "formula": "V3PbBr",
  "functional": "PBE-GGA",
  "state": "optimized geometry",
  "rho_g_cm3": 7.828,
  "spacegroup": "Pm-3m",
  "cell": [[4.536, 0.000, 0.000], [0.000, 4.536, 0.000], [0.000, 0.000, 4.536]],
  "species": ["Pb", "V", "Br", "V", "V"],
  "frac_coords": [[0.500, 0.500, 0.500], [0.000, 0.000, 0.500], [0.000, 0.000, 0.000], [0.500, 0.000, 0.000], [0.000, 0.500, 0.000]]
}

Pick two): it beats the second-best structure by 508 meV/atom.